Record 1
# PBE La4Nd3Tl, optimized geometry
data_La4Nd3Tl
_cell_length_a 10.232
_cell_length_b 7.189
_cell_length_c 7.321
_cell_angle_alpha 90.00
_cell_angle_beta 90.00
_cell_angle_gamma 90.00
_space_group_name_H-M_alt 'P 1'
_space_group_IT_number 1
_space_group_name_Hall 'P 1'
loop_
_atom_site_label
_atom_site_fract_x
_atom_site_fract_y
_atom_site_fract_z
La1 0.000 0.001 0.000
La2 0.000 0.498 0.502
La3 0.249 0.758 0.250
La4 0.251 0.242 0.750
La5 0.500 0.502 0.002
La6 0.500 0.999 0.500
La7 0.749 0.242 0.750
La8 0.751 0.758 0.250
Nd1 0.000 0.500 0.000
Nd2 0.250 0.232 0.251
Nd3 0.250 0.768 0.751
Nd4 0.500 0.500 0.500
Nd5 0.750 0.232 0.251
Nd6 0.750 0.768 0.751
Tl1 0.000 0.999 0.501
Tl2 0.500 0.001 0.001
# - Formation energy from the elements: -0.6 eV/f.u.
# - Spin magnetization: 0.0 μB/cell

=====

Record 2
# PBE PaTcTe, optimized geometry
data_PaTcTe
_cell_length_a 6.587
_cell_length_b 6.587
_cell_length_c 6.587
_cell_angle_alpha 90.00
_cell_angle_beta 90.00
_cell_angle_gamma 90.00
_space_group_name_H-M_alt 'P 1'
_space_group_IT_number 1
_space_group_name_Hall 'P 1'
loop_
_atom_site_label
_atom_site_fract_x
_atom_site_fract_y
_atom_site_fract_z
Pa1 0.000 0.000 0.000
Pa2 0.000 0.500 0.500
Pa3 0.500 0.000 0.500
Pa4 0.500 0.500 0.000
Tc1 0.250 0.250 0.750
Tc2 0.250 0.750 0.250
Tc3 0.750 0.250 0.250
Tc4 0.750 0.750 0.750
Te1 0.000 0.000 0.500
Te2 0.000 0.500 0.000
Te3 0.500 0.000 0.000
Te4 0.500 0.500 0.500
# - Raw formation energy: -0.2812 eV/atom
# - Spin magnetization: 0.0 μB/cell